1.
This record from Alexandria via LeMat-Bulk describes a relaxed structure of Sn6Cl. The functional is PBE.

Properties
Formation energy (no corrections)   0.044 eV per atom
VASP energy   -3.651 eV/atom
Symmetry   Im-3m, No. 229
Calculated density   4.73 g/cm³

Unit cell a=6.9845 b=6.9845 c=6.9845 alpha=109.47 beta=109.47 gamma=109.47
With the nearest neighbours (Å) after each atom.
Sites, in units of the cell vectors:
Sn  0.2500  0.7500  0.5000  4 Sn 2.85
Sn  0.5000  0.7500  0.2500  4 Sn 2.85
Sn  0.2500  0.5000  0.7500  4 Sn 2.85
Sn  0.7500  0.2500  0.5000  4 Sn 2.85
Sn  0.5000  0.2500  0.7500  4 Sn 2.85
Sn  0.7500  0.5000  0.2500  4 Sn 2.85
Cl  0.0000  0.0000  0.0000  24 Sn 4.51

2.
This record from Alexandria via LeMat-Bulk describes a relaxed structure of AlSb2Te. The functional is PBE.

Properties
Formation energy (no corrections)   0.274 eV per atom
VASP energy   -3.508 eV/atom
Symmetry   F-43m, No. 216
Calculated density   6.48 g/cm³

Unit cell a=5.2441 b=5.2441 c=5.2441 alpha=60.00 beta=60.00 gamma=60.00
With the nearest neighbours (Å) after each atom.
Sites, in units of the cell vectors:
Sb  0.0000  0.0000  0.0000  4 Te 3.21, 4 Sb 3.21
Sb  0.2500  0.2500  0.2500  4 Sb 3.21, 4 Al 3.21
Te  0.7500  0.7500  0.7500  4 Sb 3.21, 4 Al 3.21
Al  0.5000  0.5000  0.5000  4 Te 3.21, 4 Sb 3.21